#1
# PBE-GGA Tm3ThAl8, relaxed
# * Fermi-level density of states: 7.81 states/eV/f.u.
# * magnetization: 0.0 μB/f.u.
data_Tm3ThAl8
_chemical_formula_sum 'Tm3 Th1 Al8'
_cell_length_a 5.5362
_cell_length_b 5.5362
_cell_length_c 9.1892
_cell_angle_alpha 90.00
_cell_angle_beta 90.00
_cell_angle_gamma 120.00
_space_group_name_H-M_alt 'P 3 m 1'
_space_group_IT_number 156
loop_
_space_group_symop_operation_xyz
'x,y,z'
'-y,x-y,z'
'-x+y,-x,z'
'-y,-x,z'
'-x+y,y,z'
'x,x-y,z'
loop_
_atom_site_label
_atom_site_fract_x
_atom_site_fract_y
_atom_site_fract_z
_atom_site_occupancy
Tm1 0.0000 0.0000 0.0000 1
Tm2 0.0000 0.0000 0.3651 1
Tm3 0.3333 0.6667 0.8678 1
Th1 0.3333 0.6667 0.5006 1
Al1 0.0080 0.5040 0.1816 1
Al2 0.3261 0.1630 0.6886 1
Al3 0.6667 0.3333 0.4308 1
Al4 0.6667 0.3333 0.9381 1

***

#2
# PBE-GGA Tm3ThAl8, relaxed
# * Fermi-level density of states: 9.10 states/eV/f.u.
# * magnetization: 0.0 μB/f.u.
data_Tm3ThAl8
_chemical_formula_sum 'Tm9 Th3 Al24'
_cell_length_a 5.5609
_cell_length_b 5.5609
_cell_length_c 27.3009
_cell_angle_alpha 90.00
_cell_angle_beta 90.00
_cell_angle_gamma 120.00
_space_group_name_H-M_alt 'R 3 m'
_space_group_IT_number 160
_space_group_name_Hall 'R 3 -2"'
loop_
_atom_site_label
_atom_site_fract_x
_atom_site_fract_y
_atom_site_fract_z
_atom_site_occupancy
Tm1 0.0000 0.0000 0.0000 1
Tm2 0.0000 0.0000 0.1239 1
Tm3 0.0000 0.0000 0.6259 1
Th1 0.0000 0.0000 0.4999 1
Al1 0.0000 0.0000 0.3131 1
Al2 0.0000 0.0000 0.8117 1
Al3 0.0008 0.5004 0.5636 1
Al4 0.1670 0.3339 0.3948 1

***

In terms of stability, #2 leads; the second structure lies 12 meV per atom higher.

***

#1
# PBE-GGA TmThAl4, relaxed
# * Fermi-level density of states: 1.46 states/eV/f.u.
# * magnetization: 0.0 μB/f.u.
data_TmThAl4
_chemical_formula_sum 'Tm2 Th2 Al8'
_cell_length_a 4.584
_cell_length_b 7.125
_cell_length_c 7.977
_cell_angle_alpha 90.00
_cell_angle_beta 90.00
_cell_angle_gamma 90.00
_space_group_name_H-M_alt 'I m m m'
_space_group_IT_number 71
_space_group_name_Hall '-I 2 2'
loop_
_atom_site_label
_atom_site_fract_x
_atom_site_fract_y
_atom_site_fract_z
_atom_site_occupancy
Tm1 0.000 0.000 0.000 1
Th1 0.000 0.500 0.000 1
Al1 0.000 0.257 0.334 1

***

#2
# PBE-GGA TmThAl4, relaxed
# * Fermi-level density of states: 2.40 states/eV/f.u.
# * magnetization: 0.0 μB/f.u.
data_TmThAl4
_chemical_formula_sum 'Tm4 Th4 Al16'
_cell_length_a 7.942
_cell_length_b 7.942
_cell_length_c 7.942
_cell_angle_alpha 90.00
_cell_angle_beta 90.00
_cell_angle_gamma 90.00
_space_group_name_H-M_alt 'F -4 3 m'
_space_group_IT_number 216
_space_group_name_Hall 'F -4 2 3'
loop_
_atom_site_label
_atom_site_fract_x
_atom_site_fract_y
_atom_site_fract_z
_atom_site_occupancy
Tm1 0.000 0.000 0.000 1
Th1 0.250 0.250 0.750 1
Al1 0.125 0.125 0.375 1

***

In terms of stability, #2 leads; the second structure lies 19 meV per atom higher.

***

#1
# PBE-GGA YThAl4, relaxed
# * Fermi-level density of states: 2.52 states/eV/f.u.
# * magnetization: 0.0 μB/f.u.
data_YThAl4
_chemical_formula_sum 'Y4 Th4 Al16'
_cell_length_a 7.978
_cell_length_b 7.978
_cell_length_c 7.978
_cell_angle_alpha 90.00
_cell_angle_beta 90.00
_cell_angle_gamma 90.00
_space_group_name_H-M_alt 'F -4 3 m'
_space_group_IT_number 216
_space_group_name_Hall 'F -4 2 3'
loop_
_atom_site_label
_atom_site_fract_x
_atom_site_fract_y
_atom_site_fract_z
_atom_site_occupancy
Y1 0.000 0.000 0.000 1
Th1 0.250 0.250 0.750 1
Al1 0.125 0.125 0.375 1

***

#2
# PBE-GGA YThAl4, relaxed
# * Fermi-level density of states: 2.25 states/eV/f.u.
# * magnetization: 0.0 μB/f.u.
data_YThAl4
_chemical_formula_sum 'Y2 Th2 Al8'
_cell_length_a 4.281
_cell_length_b 4.281
_cell_length_c 15.209
_cell_angle_alpha 90.00
_cell_angle_beta 90.00
_cell_angle_gamma 90.00
_space_group_name_H-M_alt 'I -4 m 2'
_space_group_IT_number 119
_space_group_name_Hall 'I -4 -2'
loop_
_atom_site_label
_atom_site_fract_x
_atom_site_fract_y
_atom_site_fract_z
_atom_site_occupancy
Y1 0.000 0.000 0.000 1
Th1 0.000 0.500 0.250 1
Al1 0.000 0.000 0.418 1
Al2 0.000 0.500 0.667 1

***

In terms of stability, #1 leads; the second structure lies 36 meV per atom higher.